Entry 1:
Density functional theory data (PBE) for an optimized crystal structure of ThPa6Se12.

Lattice parameters (Å, degrees): 8.3438 8.3438 8.3438 100.34 100.34 100.34
Last column: nearest neighbours and their distance in Å.
Sites, in units of the cell vectors:
Th (0.0000, 0.0000, 0.0000)  6 Se 2.84
Pa (0.6822, 0.8626, 0.3679)  6 Se 2.86-2.99
Pa (0.6321, 0.3178, 0.1374)  6 Se 2.86-2.99
Pa (0.1374, 0.6321, 0.3178)  6 Se 2.86-2.99
Pa (0.3178, 0.1374, 0.6321)  6 Se 2.86-2.99
Pa (0.3679, 0.6822, 0.8626)  6 Se 2.86-2.99
Pa (0.8626, 0.3679, 0.6822)  6 Se 2.86-2.99
Se (0.8236, 0.5814, 0.4367)  4 Pa 2.91-2.99
Se (0.4367, 0.8236, 0.5814)  4 Pa 2.91-2.99
Se (0.5814, 0.4367, 0.8236)  4 Pa 2.91-2.99
Se (0.1764, 0.4186, 0.5633)  4 Pa 2.91-2.99
Se (0.5633, 0.1764, 0.4186)  4 Pa 2.91-2.99
Se (0.4186, 0.5633, 0.1764)  4 Pa 2.91-2.99
Se (0.0691, 0.9573, 0.3343)  1 Th 2.84, 2 Pa 2.86-2.90
Se (0.0427, 0.6657, 0.9309)  1 Th 2.84, 2 Pa 2.86-2.90
Se (0.6657, 0.9309, 0.0427)  1 Th 2.84, 2 Pa 2.86-2.90
Se (0.9309, 0.0427, 0.6657)  1 Th 2.84, 2 Pa 2.86-2.90
Se (0.9573, 0.3343, 0.0691)  1 Th 2.84, 2 Pa 2.86-2.90
Se (0.3343, 0.0691, 0.9573)  1 Th 2.84, 2 Pa 2.86-2.90

Formation energy from raw total energies = -1278 meV per atom
Mass density = 7.77 g cm⁻³



Entry 2:
Density functional theory data (PBE) for an optimized crystal structure of ThPa3Se4.

Lattice parameters (Å, degrees): 3.8924 7.2368 7.2370 73.22 89.95 89.95
Last column: nearest neighbours and their distance in Å.
Sites, in units of the cell vectors:
Pa (0.4999, 0.0000, 0.5000)  6 Se 2.87
Pa (0.0000, 0.0002, 0.9999)  6 Se 2.90-2.91
Pa (0.0000, 0.5002, 0.4999)  6 Se 2.90-2.91
Se (0.9999, 0.7556, 0.7445)  4 Pa 2.87-2.90, 2 Th 2.94
Se (0.5000, 0.7531, 0.2528)  5 Pa 2.87-2.91, 1 Th 2.94
Se (0.9999, 0.2445, 0.2556)  4 Pa 2.87-2.91, 2 Th 2.94
Se (0.5000, 0.2473, 0.7470)  5 Pa 2.87-2.91, 1 Th 2.94
Th (0.4999, 0.5001, 0.0000)  6 Se 2.94

Formation energy from raw total energies = -1280 meV per atom
Mass density = 10.56 g cm⁻³



Entry 3:
Density functional theory data (PBE) for an optimized crystal structure of Th2Pa2Se7.

Lattice parameters (Å, degrees): 4.0870 9.0198 9.0198 60.49 76.91 76.91
Last column: nearest neighbours and their distance in Å.
Sites, in units of the cell vectors:
Th (0.7397, 0.8554, 0.6652)  7 Se 2.91-3.06
Th (0.2603, 0.3348, 0.1446)  7 Se 2.91-3.06
Pa (0.0000, 0.7703, 0.2297)  8 Se 2.91-3.03
Pa (0.5000, 0.3295, 0.6705)  7 Se 2.90-2.99
Se (0.8208, 0.0696, 0.2888)  1 Pa 2.91, 3 Th 2.91-2.95
Se (0.8615, 0.4209, 0.8562)  2 Pa 2.95, 2 Th 3.06
Se (0.5000, 0.0099, 0.9901)  3 Pa 2.90-2.99
Se (0.6093, 0.4949, 0.2865)  3 Pa 2.99-3.03, 2 Th 3.06, 1 Se 3.29
Se (0.3907, 0.7135, 0.5051)  3 Pa 2.99-3.03, 2 Th 3.06, 1 Se 3.29
Se (0.1792, 0.7112, 0.9304)  1 Pa 2.91, 3 Th 2.91-2.95
Se (0.1385, 0.1438, 0.5791)  2 Pa 2.95, 2 Th 3.06

Formation energy from raw total energies = -1550 meV per atom
Mass density = 8.79 g cm⁻³



Entry 4:
Density functional theory data (PBE) for an optimized crystal structure of ThPa6Se8.

Lattice parameters (Å, degrees): 8.0996 8.0996 8.0996 60.00 60.00 60.00
Last column: nearest neighbours and their distance in Å.
Sites, in units of the cell vectors:
Th (0.0000, 0.0000, 0.0000)  6 Se 3.04
Pa (0.0000, 0.5000, 0.5000)  6 Se 2.86-2.87
Pa (0.5000, 0.0000, 0.0000)  6 Se 2.86-2.87
Pa (0.5000, 0.5000, 0.0000)  6 Se 2.86-2.87
Pa (0.0000, 0.0000, 0.5000)  6 Se 2.86-2.87
Pa (0.0000, 0.5000, 0.0000)  6 Se 2.86-2.87
Pa (0.5000, 0.0000, 0.5000)  6 Se 2.86-2.87
Se (0.7500, 0.7500, 0.7500)  6 Pa 2.86
Se (0.2500, 0.2500, 0.2500)  6 Pa 2.86
Se (0.7347, 0.2653, 0.2653)  4 Pa 2.87, 1 Th 3.04
Se (0.2653, 0.7347, 0.7347)  4 Pa 2.87, 1 Th 3.04
Se (0.2653, 0.2653, 0.7347)  4 Pa 2.87, 1 Th 3.04
Se (0.7347, 0.7347, 0.2653)  4 Pa 2.87, 1 Th 3.04
Se (0.7347, 0.2653, 0.7347)  4 Pa 2.87, 1 Th 3.04
Se (0.2653, 0.7347, 0.2653)  4 Pa 2.87, 1 Th 3.04

Formation energy from raw total energies = -1326 meV per atom
Mass density = 9.94 g cm⁻³



Entry 5:
Density functional theory data (PBE) for an optimized crystal structure of ThPa2Se4.

Lattice parameters (Å, degrees): 3.9773 6.9035 14.0744 90.00 90.00 106.74
Last column: nearest neighbours and their distance in Å.
Sites, in units of the cell vectors:
Th (0.6116, 0.2233, 0.7500)  6 Se 2.96-2.97
Th (0.3884, 0.7767, 0.2500)  6 Se 2.96-2.97
Pa (0.1437, 0.2874, 0.4410)  6 Se 2.87-2.93
Pa (0.8563, 0.7126, 0.9410)  6 Se 2.87-2.93
Pa (0.1437, 0.2874, 0.0590)  6 Se 2.87-2.93
Pa (0.8563, 0.7126, 0.5590)  6 Se 2.87-2.93
Se (0.7787, 0.5574, 0.1332)  3 Pa 2.87-2.89, 2 Th 2.96
Se (0.7787, 0.5574, 0.3668)  3 Pa 2.87-2.89, 2 Th 2.96
Se (0.2213, 0.4426, 0.8668)  3 Pa 2.87-2.89, 2 Th 2.96
Se (0.2213, 0.4426, 0.6332)  3 Pa 2.87-2.89, 2 Th 2.96
Se (0.9448, 0.8896, 0.7500)  2 Pa 2.93, 2 Th 2.97
Se (0.0552, 0.1104, 0.2500)  2 Pa 2.93, 2 Th 2.97
Se (0.5000, 0.0000, 0.0000)  4 Pa 2.87
Se (0.5000, 0.0000, 0.5000)  4 Pa 2.87

Formation energy from raw total energies = -1314 meV per atom
Mass density = 9.06 g cm⁻³



Entry 6:
Density functional theory data (PBE) for an optimized crystal structure of ThPaSe3.

Lattice parameters (Å, degrees): 3.9978 8.1899 8.2911 97.34 90.00 90.00
Last column: nearest neighbours and their distance in Å.
Sites, in units of the cell vectors:
Th (0.2500, 0.3741, 0.2331)  8 Se 3.00-3.16
Th (0.7500, 0.6259, 0.7669)  8 Se 3.00-3.16
Pa (0.2500, 0.8702, 0.3576)  6 Se 2.87-2.95
Pa (0.7500, 0.1298, 0.6424)  6 Se 2.87-2.95
Se (0.7500, 0.6190, 0.3885)  2 Pa 2.90, 3 Th 3.00-3.13
Se (0.2500, 0.3810, 0.6115)  2 Pa 2.90, 3 Th 3.00-3.13
Se (0.7500, 0.3177, 0.9600)  1 Pa 2.87, 3 Th 3.01-3.16
Se (0.2500, 0.8945, 0.7155)  3 Pa 2.89-2.95, 2 Th 3.04
Se (0.2500, 0.6823, 0.0400)  1 Pa 2.87, 3 Th 3.01-3.16
Se (0.7500, 0.1055, 0.2845)  3 Pa 2.89-2.95, 2 Th 3.04

Formation energy from raw total energies = -1459 meV per atom
ΔE to the lowest computed polymorph = 35 meV per atom
Mass density = 8.63 g cm⁻³



Entry 7:
Density functional theory data (PBE) for an optimized crystal structure of Th2PaSe8.

Lattice parameters (Å, degrees): 4.2494 10.3848 9.0149 106.09 103.63 90.00
Last column: nearest neighbours and their distance in Å.
Sites, in units of the cell vectors:
Th (0.8399, 0.1929, 0.6797)  8 Se 2.97-3.07
Th (0.1601, 0.8071, 0.3203)  8 Se 2.97-3.07
Pa (0.5000, 0.0000, 0.0000)  6 Se 2.86-2.87
Se (0.4083, 0.3929, 0.8167)  1 Se 2.40
Se (0.6665, 0.0169, 0.3330)  1 Pa 2.87, 3 Th 3.02-3.07
Se (0.7345, 0.6807, 0.4689)  1 Se 2.40
Se (0.0112, 0.1885, 0.0224)  2 Pa 2.86, 1 Th 3.02
Se (0.2655, 0.3193, 0.5311)  1 Se 2.40
Se (0.3335, 0.9831, 0.6670)  1 Pa 2.87, 3 Th 3.02-3.07
Se (0.5917, 0.6071, 0.1833)  1 Se 2.40
Se (0.9888, 0.8115, 0.9776)  2 Pa 2.86, 1 Th 3.02

Formation energy from raw total energies = -1353 meV per atom
Mass density = 5.95 g cm⁻³



Entry 8:
Density functional theory data (PBE) for an optimized crystal structure of Th2Pa3Se8.

Lattice parameters (Å, degrees): 6.7419 7.9489 8.4529 118.05 103.28 90.00
Last column: nearest neighbours and their distance in Å.
Sites, in units of the cell vectors:
Th (0.3157, 0.2497, 0.4994)  6 Se 2.88-2.99
Th (0.6843, 0.7503, 0.5006)  6 Se 2.88-2.99
Pa (0.5000, 0.0000, 0.0000)  6 Se 2.92-2.93
Pa (0.0000, 0.2249, 0.0000)  6 Se 2.87-2.94
Pa (0.0000, 0.7751, 0.0000)  6 Se 2.87-2.94
Se (0.8915, 0.6025, 0.2049)  2 Pa 2.87, 1 Th 2.90
Se (0.1085, 0.3975, 0.7951)  2 Pa 2.87, 1 Th 2.90
Se (0.8973, 0.1374, 0.2748)  1 Th 2.88, 3 Pa 2.92-2.94
Se (0.1027, 0.8626, 0.7252)  1 Th 2.88, 3 Pa 2.92-2.94
Se (0.5929, 0.6198, 0.7510)  2 Pa 2.90-2.93, 2 Th 2.93-2.99
Se (0.5929, 0.1312, 0.7510)  2 Pa 2.90-2.93, 2 Th 2.93-2.99
Se (0.4071, 0.8688, 0.2490)  2 Pa 2.90-2.93, 2 Th 2.93-2.99
Se (0.4071, 0.3802, 0.2490)  2 Pa 2.90-2.93, 2 Th 2.93-2.99

Formation energy from raw total energies = -1353 meV per atom
ΔE to the lowest computed polymorph = 76 meV per atom
Mass density = 7.70 g cm⁻³



Entry 9:
Density functional theory data (PBE) for an optimized crystal structure of Th2Pa3Se8.

Lattice parameters (Å, degrees): 4.9738 9.8349 8.5721 125.01 90.00 90.00
Last column: nearest neighbours and their distance in Å.
Sites, in units of the cell vectors:
Th (0.5000, 0.2599, 0.5196)  8 Se 2.97-3.18
Th (0.5000, 0.7401, 0.4804)  8 Se 2.97-3.18
Pa (0.5000, 0.0000, 0.0000)  8 Se 2.93-2.99
Pa (0.0000, 0.2619, 0.0000)  8 Se 2.93-3.07
Pa (0.0000, 0.7381, 0.0000)  8 Se 2.93-3.07
Se (0.0000, 0.6252, 0.2504)  2 Pa 2.93, 2 Th 2.97
Se (0.0000, 0.3748, 0.7496)  2 Pa 2.93, 2 Th 2.97
Se (0.0000, 0.1185, 0.2370)  4 Pa 2.99-3.07, 2 Th 3.18, 1 Se 3.33
Se (0.0000, 0.8815, 0.7630)  4 Pa 2.99-3.07, 2 Th 3.18, 1 Se 3.33
Se (0.5000, 0.6361, 0.7576)  3 Pa 2.93-3.02, 2 Th 3.03-3.08
Se (0.5000, 0.1215, 0.7576)  3 Pa 2.93-3.02, 2 Th 3.03-3.08
Se (0.5000, 0.8785, 0.2424)  3 Pa 2.93-3.02, 2 Th 3.03-3.08
Se (0.5000, 0.3639, 0.2424)  3 Pa 2.93-3.02, 2 Th 3.03-3.08

Formation energy from raw total energies = -1429 meV per atom
ΔE to the lowest computed polymorph = 0 meV per atom
Mass density = 8.65 g cm⁻³



Entry 10:
Density functional theory data (PBE) for an optimized crystal structure of ThPa3Se6.

Lattice parameters (Å, degrees): 4.0028 11.5726 12.0397 107.88 90.00 90.00
Last column: nearest neighbours and their distance in Å.
Sites, in units of the cell vectors:
Th (0.7500, 0.0449, 0.6983)  8 Se 2.99-3.17
Th (0.2500, 0.9551, 0.3017)  8 Se 2.99-3.17
Pa (0.7500, 0.4282, 0.8397)  6 Se 2.88-2.92
Pa (0.2500, 0.5718, 0.1603)  6 Se 2.88-2.92
Pa (0.7500, 0.6774, 0.5003)  7 Se 2.92-3.02
Pa (0.2500, 0.3226, 0.4997)  7 Se 2.92-3.02
Pa (0.7500, 0.1354, 0.0687)  6 Se 2.86-2.93
Pa (0.2500, 0.8646, 0.9313)  6 Se 2.86-2.93
Se (0.7500, 0.4958, 0.6284)  4 Pa 2.88-2.97
Se (0.2500, 0.5042, 0.3716)  4 Pa 2.88-2.97
Se (0.7500, 0.9038, 0.1082)  3 Pa 2.86, 2 Th 2.99, 1 Se 3.20
Se (0.2500, 0.0962, 0.8918)  3 Pa 2.86, 2 Th 2.99, 1 Se 3.20
Se (0.7500, 0.3881, 0.0675)  4 Pa 2.88-2.93
Se (0.2500, 0.6119, 0.9325)  4 Pa 2.88-2.93
Se (0.7500, 0.7447, 0.2833)  3 Pa 2.90-2.95, 2 Th 3.11, 1 Se 3.20
Se (0.2500, 0.2553, 0.7167)  3 Pa 2.90-2.95, 2 Th 3.11, 1 Se 3.20
Se (0.7500, 0.1191, 0.4660)  2 Pa 3.02, 3 Th 3.04-3.17
Se (0.2500, 0.8809, 0.5340)  2 Pa 3.02, 3 Th 3.04-3.17
Se (0.7500, 0.8061, 0.7501)  3 Pa 2.88-2.92, 1 Th 3.02
Se (0.2500, 0.1939, 0.2499)  3 Pa 2.88-2.92, 1 Th 3.02

Formation energy from raw total energies = -1360 meV per atom
Mass density = 8.75 g cm⁻³